The following is a PBE-GGA calculation of a relaxed structure of HfCuSb, from Alexandria.

Its magnetization is 0.0 μB per formula unit. For the formation energy from raw total energies, the calculation gives -0.223 eV/atom.

The structure belongs to space group P3m1 (No. 156); the cell edges are 4.1931, 4.1931 and 3.8604 Å and the angles 90.00°, 90.00° and 120.00°. The inequivalent atoms are Hf at (0.0000, 0.0000, 0.0000), Cu at (0.3333, 0.6667, 0.7020) and Sb at (0.6667, 0.3333, 0.4698).